A relaxed Sr2CuRe crystal, computed with PBE-GGA.

Structure (CIF):
```
data_Sr2CuRe
_space_group_name_H-M_alt 'P 1 m 1'
_space_group_IT_number 6
_cell_length_a 4.620
_cell_length_b 4.337
_cell_length_c 6.041
_cell_angle_alpha 90.00
_cell_angle_beta 112.30
_cell_angle_gamma 90.00
loop_
_space_group_symop_operation_xyz
'x,y,z'
'x,-y,z'
loop_
_atom_site_label
_atom_site_type_symbol
_atom_site_fract_x
_atom_site_fract_y
_atom_site_fract_z
Sr1 Sr 0.000 0.000 0.000
Sr2 Sr 0.290 0.500 0.580
Cu1 Cu 0.690 0.000 0.385
Re1 Re 0.598 0.500 0.195
```

Output
Raw total energy in eV/atom: -4.361
E_form in kcal/mol of atoms: 14.21
Energy relative to the lowest polymorph listed for this composition in eV per formula unit: 0.00
V in Å³/f.u.: 112.0